(1)
# B5C7, optimized geometry, DFT GGA-PBE
# **Magnetization**: 0.0 μB/cell
# **Electronic total energy**: -187.5 eV for the cell shown
# **E above lowest polymorph**: 0.092 eV/atom
# **Crystal system**: monoclinic
data_B5C7
_cell_length_a 13.0732
_cell_length_b 2.6563
_cell_length_c 5.3163
_cell_angle_alpha 90.00
_cell_angle_beta 108.75
_cell_angle_gamma 90.00
_space_group_name_H-M_alt 'C 1 m 1'
_space_group_IT_number 8
loop_
_space_group_symop_operation_xyz
'x,y,z'
'x,-y,z'
'x+1/2,y+1/2,z'
'x+1/2,-y+1/2,z'
loop_
_atom_site_label
_atom_site_type_symbol
_atom_site_fract_x
_atom_site_fract_y
_atom_site_fract_z
_atom_site_occupancy
B1 B 0.0000 0.0000 0.0000 1
B2 B 0.0425 0.5000 0.7332 1
B3 B 0.1720 0.5000 0.3475 1
B4 B 0.2407 0.0000 0.9662 1
B5 B 0.3790 0.5000 0.3813 1
C1 C 0.0716 0.5000 0.0929 1
C2 C 0.1604 0.5000 0.9143 1
C3 C 0.2382 0.0000 0.4612 1
C4 C 0.3113 0.0000 0.7586 1
C5 C 0.3162 0.0000 0.2759 1
C6 C 0.3794 0.5000 0.8122 1
C7 C 0.4737 0.5000 0.6440 1

=====

(2)
# KZr2Ti, optimized geometry, DFT GGA-PBE
# **Magnetization**: 0.0 μB/cell
# **Electronic total energy**: -79.3 eV for the cell shown
# **E above lowest polymorph**: 0.538 eV/atom
# **Crystal system**: tetragonal
data_KZr2Ti
_cell_length_a 7.5114
_cell_length_b 7.5114
_cell_length_c 11.9434
_cell_angle_alpha 90.00
_cell_angle_beta 90.00
_cell_angle_gamma 90.00
_space_group_name_H-M_alt 'I 41/a m d'
_space_group_IT_number 141
loop_
_space_group_symop_operation_xyz
'x,y,z'
'-x,-y,-z'
'-y+1/4,x+3/4,z+1/4'
'y+1/4,-x+3/4,-z+1/4'
'-x+1/2,-y,z+1/2'
'x+1/2,y,-z+1/2'
'y+1/4,-x+1/4,z+3/4'
'-y+1/4,x+1/4,-z+3/4'
'x,-y,-z'
'-x,y,z'
'-y+1/4,-x+1/4,-z+3/4'
'y+1/4,x+1/4,z+3/4'
'-x+1/2,y,-z+1/2'
'x+1/2,-y,z+1/2'
'y+1/4,x+3/4,-z+1/4'
'-y+1/4,-x+3/4,z+1/4'
'x+1/2,y+1/2,z+1/2'
'-x+1/2,-y+1/2,-z+1/2'
'-y+3/4,x+1/4,z+3/4'
'y+3/4,-x+1/4,-z+3/4'
'-x,-y+1/2,z'
'x,y+1/2,-z'
'y+3/4,-x+3/4,z+1/4'
'-y+3/4,x+3/4,-z+1/4'
'x+1/2,-y+1/2,-z+1/2'
'-x+1/2,y+1/2,z+1/2'
'-y+3/4,-x+3/4,-z+1/4'
'y+3/4,x+3/4,z+1/4'
'-x,y+1/2,-z'
'x,-y+1/2,z'
'y+3/4,x+1/4,-z+3/4'
'-y+3/4,-x+1/4,z+3/4'
loop_
_atom_site_label
_atom_site_type_symbol
_atom_site_fract_x
_atom_site_fract_y
_atom_site_fract_z
_atom_site_occupancy
K1 K 0.0000 0.2500 0.3750 1
Zr1 Zr 0.0000 0.0000 0.0000 1
Ti1 Ti 0.0000 0.2500 0.8750 1

=====

(3)
# SmCuSn2, optimized geometry, DFT GGA-PBE
# **Magnetization**: 0.0 μB/cell
# **Electronic total energy**: -18.3 eV for the cell shown
# **Crystal system**: tetragonal
data_SmCuSn2
_cell_length_a 4.5618
_cell_length_b 4.5618
_cell_length_c 4.4427
_cell_angle_alpha 90.00
_cell_angle_beta 90.00
_cell_angle_gamma 90.00
_space_group_name_H-M_alt 'P 4/m m m'
_space_group_IT_number 123
_space_group_name_Hall '-P 4 2'
loop_
_atom_site_label
_atom_site_type_symbol
_atom_site_fract_x
_atom_site_fract_y
_atom_site_fract_z
_atom_site_occupancy
Sm1 Sm 0.0000 0.0000 0.0000 1
Cu1 Cu 0.5000 0.5000 0.0000 1
Sn1 Sn 0.0000 0.5000 0.5000 1

=====

| no. | calculated formation energy (meV/atom) | N(E_F) (states/eV per atom) |
| --- | --- | --- |
| 1 | 350 | 0.15 |
| 2 | 1564 | 1.80 |
| 3 | -370 | 0.34 |